*w*
Here is a relaxed structure of LiEuRh from Alexandria. Energies are from GGA-PBE.

Structure (CIF):
```
data_LiEuRh
_symmetry_space_group_name_H-M 'P -6 m 2'
_symmetry_Int_Tables_number 187
_symmetry_space_group_name_Hall 'P -6 2'
_cell_length_a 4.4966
_cell_length_b 4.4966
_cell_length_c 3.4435
_cell_angle_alpha 90.00
_cell_angle_beta 90.00
_cell_angle_gamma 120.00
loop_
_atom_site_label
_atom_site_type_symbol
_atom_site_fract_x
_atom_site_fract_y
_atom_site_fract_z
Li1 Li 0.0000 0.0000 0.0000
Eu1 Eu 0.6667 0.3333 0.5000
Rh1 Rh 0.3333 0.6667 0.0000
```

Results
As for the total magnetic moment: 6.99 μB per formula unit. For the volume, the calculation gives 60.30 Å³ per cell.

*x*
Here is a relaxed structure of LiEuRh from Alexandria. Energies are from GGA-PBE.

Structure (CIF):
```
data_LiEuRh
_symmetry_space_group_name_H-M 'I 4 m m'
_symmetry_Int_Tables_number 107
_symmetry_space_group_name_Hall 'I 4 -2'
_cell_length_a 3.455
_cell_length_b 3.455
_cell_length_c 9.933
_cell_angle_alpha 90.00
_cell_angle_beta 90.00
_cell_angle_gamma 90.00
loop_
_atom_site_label
_atom_site_type_symbol
_atom_site_fract_x
_atom_site_fract_y
_atom_site_fract_z
Li1 Li 0.000 0.000 0.000
Eu1 Eu 0.000 0.000 0.284
Rh1 Rh 0.000 0.000 0.603
```

Results
As for the total magnetic moment: 7.10 μB per formula unit. For the volume, the calculation gives 118.56 Å³ per cell.

Here is how they stack up, most stable first: *w*, *x*.

*w*
Here is a relaxed structure of LiEuSb2 from Alexandria. Energies are from GGA-PBE.

Structure (CIF):
```
data_LiEuSb2
_symmetry_space_group_name_H-M 'P 4/m m m'
_symmetry_Int_Tables_number 123
_symmetry_space_group_name_Hall '-P 4 2'
_cell_length_a 3.990
_cell_length_b 3.990
_cell_length_c 6.630
_cell_angle_alpha 90.00
_cell_angle_beta 90.00
_cell_angle_gamma 90.00
loop_
_atom_site_label
_atom_site_type_symbol
_atom_site_fract_x
_atom_site_fract_y
_atom_site_fract_z
Li1 Li 0.000 0.000 0.000
Eu1 Eu 0.000 0.000 0.500
Sb1 Sb 0.500 0.500 0.218
```

Results
As for the total magnetic moment: 6.96 μB per formula unit. For the volume, the calculation gives 105.53 Å³ per cell.

*x*
Here is a relaxed structure of LiEuSb2 from Alexandria. Energies are from GGA-PBE.

Structure (CIF):
```
data_LiEuSb2
_symmetry_space_group_name_H-M 'P 4/m m m'
_symmetry_Int_Tables_number 123
_symmetry_space_group_name_Hall '-P 4 2'
_cell_length_a 4.846
_cell_length_b 4.846
_cell_length_c 4.446
_cell_angle_alpha 90.00
_cell_angle_beta 90.00
_cell_angle_gamma 90.00
loop_
_atom_site_label
_atom_site_type_symbol
_atom_site_fract_x
_atom_site_fract_y
_atom_site_fract_z
Li1 Li 0.000 0.000 0.000
Eu1 Eu 0.500 0.500 0.000
Sb1 Sb 0.000 0.500 0.500
```

Results
As for the total magnetic moment: 6.84 μB per formula unit. For the volume, the calculation gives 104.42 Å³ per cell.

*y*
Here is a relaxed structure of LiEuSb2 from Alexandria. Energies are from GGA-PBE.

Structure (CIF):
```
data_LiEuSb2
_symmetry_space_group_name_H-M 'F m -3 m'
_symmetry_Int_Tables_number 225
_symmetry_space_group_name_Hall '-F 4 2 3'
_cell_length_a 7.558
_cell_length_b 7.558
_cell_length_c 7.558
_cell_angle_alpha 90.00
_cell_angle_beta 90.00
_cell_angle_gamma 90.00
loop_
_atom_site_label
_atom_site_type_symbol
_atom_site_fract_x
_atom_site_fract_y
_atom_site_fract_z
Li1 Li 0.000 0.000 0.000
Eu1 Eu 0.000 0.000 0.500
Sb1 Sb 0.250 0.250 0.250
```

Results
As for the total magnetic moment: 6.91 μB per formula unit. For the volume, the calculation gives 431.72 Å³ per cell.

Here is how they stack up, most stable first: *x*, *w*, *y*.